1.
# meta-GGA SCAN SnPCl9, PBEsol geometry
data_SnPCl9
_chemical_formula_sum 'Sn2 P2 Cl18'
_cell_length_a 7.1460
_cell_length_b 9.1206
_cell_length_c 9.4406
_cell_angle_alpha 100.59
_cell_angle_beta 96.40
_cell_angle_gamma 93.83
_symmetry_space_group_name_H-M 'P -1'
_symmetry_Int_Tables_number 2
_symmetry_space_group_name_Hall '-P 1'
loop_
_atom_site_label
_atom_site_type_symbol
_atom_site_fract_x
_atom_site_fract_y
_atom_site_fract_z
Sn1 Sn 0.1180 0.1430 0.1749
P1 P 0.4499 0.3134 0.7214
Cl1 Cl 0.0101 0.7102 0.6245
Cl2 Cl 0.0745 0.3367 0.0375
Cl3 Cl 0.1342 0.9325 0.2953
Cl4 Cl 0.2127 0.9756 0.9448
Cl5 Cl 0.2572 0.4561 0.7295
Cl6 Cl 0.3371 0.6055 0.3622
Cl7 Cl 0.3412 0.1255 0.5981
Cl8 Cl 0.4466 0.2200 0.2496
Cl9 Cl 0.4634 0.7163 0.0839
# Energy above the most stable polymorph in this dataset (meV/atom): 0
# Final energy (eV per cell): -255.44
# Formation energy from raw total energies (meV/atom): -872
# Volume (Å³ per atom): 27.2

2.
# meta-GGA SCAN SnPCl9, PBEsol geometry
data_SnPCl9
_chemical_formula_sum 'Sn4 P4 Cl36'
_cell_length_a 11.9513
_cell_length_b 16.5725
_cell_length_c 6.3978
_cell_angle_alpha 90.00
_cell_angle_beta 90.00
_cell_angle_gamma 90.00
_symmetry_space_group_name_H-M 'C m m e'
_symmetry_Int_Tables_number 67
_symmetry_space_group_name_Hall '-C 2a 2'
loop_
_atom_site_label
_atom_site_type_symbol
_atom_site_fract_x
_atom_site_fract_y
_atom_site_fract_z
Sn1 Sn 0.0000 0.2500 0.0982
P1 P 0.2500 0.0000 0.5000
Cl1 Cl 0.0000 0.1025 0.0960
Cl2 Cl 0.0000 0.2500 0.7298
Cl3 Cl 0.1559 0.0675 0.6780
Cl4 Cl 0.1727 0.2500 0.2728
# Energy above the most stable polymorph in this dataset (meV/atom): 8
# Final energy (eV per cell): -510.54
# Formation energy from raw total energies (meV/atom): -865
# Volume (Å³ per atom): 28.8